A) {
  "formula": "NdThPdRh",
  "functional": "PBE",
  "state": "optimized geometry",
  "crystal_system": "cubic",
  "space_group": "F-43m (216)",
  "magmom_total_mub_per_cell": 0.00,
  "lattice": [[-1.0103, 4.1131, 2.7972], [-4.3879, 0.3339, 2.5293], [-0.0405, -0.3229, 5.0652]],
  "species": ["Th", "Rh", "Nd", "Pd"],
  "fractional_positions": [[0.7500, 0.7500, 0.7500], [0.5000, 0.5000, 0.5000], [0.2500, 0.2500, 0.2500], [0.0000, 0.0000, 0.0000]]
}

---

B) {
  "formula": "NdThPdRh",
  "functional": "PBE",
  "state": "optimized geometry",
  "crystal_system": "orthorhombic",
  "space_group": "Amm2 (38)",
  "magmom_total_mub_per_cell": 0.00,
  "lattice": [[-3.6745, 0.7262, -1.1160], [-1.4150, -2.8439, 2.8086], [1.4415, 3.7890, 4.5629]],
  "species": ["Pd", "Rh", "Th", "Nd"],
  "fractional_positions": [[0.5869, 0.5000, 0.1738], [0.4010, 0.0000, 0.8020], [0.8690, 0.5000, 0.7381], [0.1431, 0.0000, 0.2861]]
}

---

Which one is most stable, and which one is least stable? B) is the most stable of them, while A) is the least stable.

---

A) {
  "formula": "NdTmPdRh",
  "functional": "PBE",
  "state": "optimized geometry",
  "crystal_system": "cubic",
  "space_group": "F-43m (216)",
  "magmom_total_mub_per_cell": 0.00,
  "lattice": [[4.9572, 0.0000, 0.0000], [2.4786, 4.2930, 0.0000], [2.4786, 1.4310, 4.0475]],
  "species": ["Nd", "Tm", "Rh", "Pd"],
  "fractional_positions": [[0.7500, 0.7500, 0.7500], [0.2500, 0.2500, 0.2500], [0.5000, 0.5000, 0.5000], [0.0000, 0.0000, 0.0000]]
}

---

B) {
  "formula": "NdTmPdRh",
  "functional": "PBE",
  "state": "optimized geometry",
  "crystal_system": "orthorhombic",
  "space_group": "Amm2 (38)",
  "magmom_total_mub_per_cell": 0.00,
  "lattice": [[-2.1034, -3.0469, -0.5659], [0.0360, -0.8423, 4.4008], [-3.3574, 4.4562, 0.8804]],
  "species": ["Nd", "Tm", "Rh", "Pd"],
  "fractional_positions": [[0.1438, 0.0000, 0.2876], [0.8651, 0.5000, 0.7303], [0.4089, 0.0000, 0.8177], [0.5822, 0.5000, 0.1644]]
}

---

Which one is most stable, and which one is least stable? B) is the most stable of them, while A) is the least stable.

---

A) {
  "formula": "Nd4PdRu",
  "functional": "PBE",
  "state": "optimized geometry",
  "crystal_system": "monoclinic",
  "space_group": "C2/c (15)",
  "magmom_total_mub_per_cell": 0.00,
  "lattice": [[-1.6274, -0.4551, -6.7412], [4.3884, -5.7272, 0.8502], [-7.1785, -1.1017, 4.6283]],
  "species": ["Nd", "Nd", "Ru", "Nd", "Nd", "Ru", "Pd", "Nd", "Nd", "Nd", "Pd", "Nd"],
  "fractional_positions": [[0.7839, 0.6185, 0.5801], [0.9651, 0.2115, 0.9166], [0.1679, 0.9179, 0.8357], [0.2161, 0.3815, 0.4199], [0.5485, 0.2948, 0.0834], [0.8321, 0.0821, 0.1643], [0.3684, 0.6184, 0.2368], [0.7038, 0.0384, 0.4199], [0.2962, 0.9616, 0.5801], [0.4515, 0.7052, 0.9166], [0.6316, 0.3816, 0.7632], [0.0349, 0.7885, 0.0834]]
}

---

B) {
  "formula": "Nd4PdRu",
  "functional": "PBE",
  "state": "optimized geometry",
  "crystal_system": "tetragonal",
  "space_group": "P4/mcc (124)",
  "magmom_total_mub_per_cell": 0.00,
  "lattice": [[6.5776, 0.0000, 0.0000], [0.0000, 7.0992, 0.0000], [0.0000, 0.0000, 7.0992]],
  "species": ["Nd", "Nd", "Nd", "Nd", "Ru", "Nd", "Pd", "Pd", "Nd", "Nd", "Ru", "Nd"],
  "fractional_positions": [[0.5000, 0.1889, 0.3266], [0.0000, 0.3266, 0.1889], [0.5000, 0.6734, 0.1889], [0.0000, 0.1889, 0.6734], [0.7500, 0.5000, 0.5000], [0.0000, 0.8111, 0.3266], [0.2500, 0.0000, 0.0000], [0.7500, 0.0000, 0.0000], [0.5000, 0.3266, 0.8111], [0.0000, 0.6734, 0.8111], [0.2500, 0.5000, 0.5000], [0.5000, 0.8111, 0.6734]]
}

---

Which one is most stable, and which one is least stable? B) is the most stable of them, while A) is the least stable.